This record from the Alexandria database describes crystalline RbPaNb2O7 at its relaxed geometry. The functional is PBE.

Lattice parameters (Å, degrees): 3.9116 3.9116 11.3049 90.00 90.00 90.00
Fractional positions:
Rb (0.0000, 0.0000, 0.0000)
Pa (0.0000, 0.0000, 0.5000)
Nb (0.5000, 0.5000, 0.3013)
Nb (0.5000, 0.5000, 0.6987)
O (0.0000, 0.5000, 0.3504)
O (0.0000, 0.5000, 0.6496)
O (0.5000, 0.0000, 0.3504)
O (0.5000, 0.0000, 0.6496)
O (0.5000, 0.5000, 0.1408)
O (0.5000, 0.5000, 0.5000)
O (0.5000, 0.5000, 0.8592)

Computed properties:
Formation energy from raw total energies, eV/atom: -2.617
Density, g/cm³: 5.90
Space-group type: P4/mmm (123)

This record from the Alexandria database describes crystalline La4Ho15Tm at its relaxed geometry. The functional is PBE.

Lattice parameters (Å, degrees): 5.0591 5.0591 25.1516 90.00 90.00 90.00
Fractional positions:
La (0.0000, 0.0000, 0.1007)
La (0.0000, 0.0000, 0.3006)
La (0.0000, 0.0000, 0.6994)
La (0.0000, 0.0000, 0.8993)
Ho (0.0000, 0.5000, 0.0000)
Ho (0.0000, 0.5000, 0.2013)
Ho (0.0000, 0.5000, 0.4030)
Ho (0.0000, 0.5000, 0.5970)
Ho (0.0000, 0.5000, 0.7987)
Ho (0.5000, 0.0000, 0.0000)
Ho (0.5000, 0.0000, 0.2013)
Ho (0.5000, 0.0000, 0.4030)
Ho (0.5000, 0.0000, 0.5970)
Ho (0.5000, 0.0000, 0.7987)
Ho (0.5000, 0.5000, 0.1004)
Ho (0.5000, 0.5000, 0.3022)
Ho (0.5000, 0.5000, 0.5000)
Ho (0.5000, 0.5000, 0.6978)
Ho (0.5000, 0.5000, 0.8996)
Tm (0.0000, 0.0000, 0.5000)

Computed properties:
ΔH_f (0 K), meV/atom: 32.2
Density, g/cm³: 8.25
Space-group type: P4/mmm (123)

This record from the Alexandria database describes crystalline Er4AlZn2Au at its relaxed geometry. The functional is PBE.

Lattice parameters (Å, degrees): 8.7088 8.7088 8.7088 33.56 33.56 33.56
Fractional positions:
Er (0.1237, 0.1237, 0.1237)
Er (0.3740, 0.3740, 0.3740)
Er (0.6260, 0.6260, 0.6260)
Er (0.8763, 0.8763, 0.8763)
Al (0.5000, 0.5000, 0.5000)
Zn (0.2458, 0.2458, 0.2458)
Zn (0.7542, 0.7542, 0.7542)
Au (0.0000, 0.0000, 0.0000)

Computed properties:
ΔH_f (0 K), meV/atom: -500.4
Density, g/cm³: 9.46
Space-group type: R-3m (166)

This record from the Alexandria database describes crystalline ReNi2Pt at its relaxed geometry. The functional is PBE.

Lattice parameters (Å, degrees): 2.6913 2.6913 7.2455 90.00 90.00 90.00
Fractional positions:
Re (0.0000, 0.0000, 0.0000)
Ni (0.0000, 0.0000, 0.4632)
Ni (0.5000, 0.5000, 0.2384)
Pt (0.5000, 0.5000, 0.7230)

Computed properties:
ΔH_f (0 K), meV/atom: -40.4
Density, g/cm³: 15.78
Space-group type: P4mm (99)
Energy above the most stable polymorph in this dataset, eV/f.u.: 0.169

This record from the Alexandria database describes crystalline BeTcAu at its relaxed geometry. The functional is PBE.

Lattice parameters (Å, degrees): 2.7499 2.7499 6.4174 90.00 90.00 120.00
Fractional positions:
Be (0.0000, 0.0000, 0.0000)
Tc (0.3333, 0.6667, 0.2989)
Au (0.6667, 0.3333, 0.6885)

Computed properties:
ΔH_f (0 K), meV/atom: 202.4
Density, g/cm³: 12.01
Space-group type: P3m1 (156)
Energy above the most stable polymorph in this dataset, eV/f.u.: 0.248

This record from the Alexandria database describes crystalline PtBrCl2 at its relaxed geometry. The functional is PBE.

Lattice parameters (Å, degrees): 5.4243 11.5437 3.5343 90.00 90.00 90.00
Fractional positions:
Pt (0.0000, 0.0000, 0.0000)
Pt (0.5000, 0.5000, 0.0000)
Br (0.0000, 0.5000, 0.0000)
Br (0.5000, 0.0000, 0.0000)
Cl (0.0000, 0.1359, 0.5000)
Cl (0.0000, 0.8641, 0.5000)
Cl (0.5000, 0.3641, 0.5000)
Cl (0.5000, 0.6359, 0.5000)

Computed properties:
Formation energy from raw total energies, eV/atom: -0.267
Density, g/cm³: 5.19
Space-group type: Cmmm (65)
Energy above the most stable polymorph in this dataset, eV/f.u.: 0.054

This record from the Alexandria database describes crystalline TaCu2Cl8 at its relaxed geometry. The functional is PBE.

Lattice parameters (Å, degrees): 7.4788 7.4788 6.8680 90.67 90.67 62.77
Fractional positions:
Ta (0.0000, 0.0000, 0.0000)
Cu (0.2033, 0.2033, 0.2390)
Cu (0.7967, 0.7967, 0.7610)
Cl (0.1118, 0.1118, 0.7362)
Cl (0.1227, 0.6715, 0.8469)
Cl (0.3285, 0.8773, 0.1531)
Cl (0.3537, 0.3537, 0.3665)
Cl (0.6463, 0.6463, 0.6335)
Cl (0.6715, 0.1227, 0.8469)
Cl (0.8773, 0.3285, 0.1531)
Cl (0.8882, 0.8882, 0.2638)

Computed properties:
Formation energy from raw total energies, eV/atom: -0.860
Density, g/cm³: 2.88
Space-group type: C2/m (12)

This record from the Alexandria database describes crystalline AlTlTe2 at its relaxed geometry. The functional is PBE.

Lattice parameters (Å, degrees): 4.3358 4.3358 12.4905 90.00 90.00 90.00
Fractional positions:
Al (0.0000, 0.0000, 0.0000)
Al (0.5000, 0.5000, 0.5000)
Tl (0.0000, 0.5000, 0.2500)
Tl (0.5000, 0.0000, 0.7500)
Te (0.0000, 0.0000, 0.5000)
Te (0.0000, 0.5000, 0.7500)
Te (0.5000, 0.0000, 0.2500)
Te (0.5000, 0.5000, 0.0000)

Computed properties:
Formation energy from raw total energies, eV/atom: 0.124
Density, g/cm³: 6.88
Space-group type: I-4m2 (119)